(1)
# SrLaSe2 | Alexandria | PBE | relaxed
# formation energy (no corrections) = -1612 meV/atom
# energy above the most stable polymorph in this dataset = 1.55 eV/f.u.
# total moment = 0.0 μB per cell
# symmetry = R-3m
data_SrLaSe2
_chemical_formula_sum 'Sr1 La1 Se2'
_cell_length_a 9.426
_cell_length_b 9.426
_cell_length_c 9.426
_cell_angle_alpha 27.64
_cell_angle_beta 27.64
_cell_angle_gamma 27.64
_space_group_name_H-M_alt 'P 1'
_space_group_IT_number 1
loop_
_space_group_symop_operation_xyz
'x,y,z'
loop_
_atom_site_label
_atom_site_fract_x
_atom_site_fract_y
_atom_site_fract_z
Sr1 0.000 0.000 0.000
La1 0.500 0.500 0.500
Se1 0.110 0.110 0.110
Se2 0.890 0.890 0.890

(2)
# MnCrTc | Alexandria | PBE | relaxed
# energy of formation = 0.6 eV per formula unit
# energy above the most stable polymorph in this dataset = 0.66 eV/f.u.
# total moment = 0.4 μB per cell
# symmetry = Imm2
data_MnCrTc
_chemical_formula_sum 'Mn1 Cr1 Tc1'
_cell_length_a 4.530
_cell_length_b 4.530
_cell_length_c 4.530
_cell_angle_alpha 146.20
_cell_angle_beta 132.76
_cell_angle_gamma 59.35
_space_group_name_H-M_alt 'P 1'
_space_group_IT_number 1
loop_
_space_group_symop_operation_xyz
'x,y,z'
loop_
_atom_site_label
_atom_site_fract_x
_atom_site_fract_y
_atom_site_fract_z
Mn1 0.000 0.000 0.000
Cr1 0.343 0.343 0.000
Tc1 0.669 0.669 0.000

(3)
# KTe2Au | Alexandria | PBE | relaxed
# formation energy (no corrections) = -100 meV/atom
# total moment = 0.0 μB per cell
# symmetry = R-3m
data_KTe2Au
_chemical_formula_sum 'K1 Te2 Au1'
_cell_length_a 10.614
_cell_length_b 10.614
_cell_length_c 10.614
_cell_angle_alpha 21.03
_cell_angle_beta 21.03
_cell_angle_gamma 21.03
_space_group_name_H-M_alt 'P 1'
_space_group_IT_number 1
loop_
_space_group_symop_operation_xyz
'x,y,z'
loop_
_atom_site_label
_atom_site_fract_x
_atom_site_fract_y
_atom_site_fract_z
K1 0.000 0.000 0.000
Te1 0.418 0.418 0.418
Te2 0.582 0.582 0.582
Au1 0.500 0.500 0.500

(4)
# PuNpPdO6 | Alexandria | PBE | relaxed
# formation energy (no corrections) = -2101 meV/atom
# total moment = 6.0 μB per cell
# symmetry = P-31c
data_PuNpPdO6
_chemical_formula_sum 'Pu2 Np2 Pd2 O12'
_cell_length_a 5.793
_cell_length_b 5.793
_cell_length_c 8.981
_cell_angle_alpha 90.00
_cell_angle_beta 90.00
_cell_angle_gamma 120.00
_space_group_name_H-M_alt 'P 1'
_space_group_IT_number 1
loop_
_space_group_symop_operation_xyz
'x,y,z'
loop_
_atom_site_label
_atom_site_fract_x
_atom_site_fract_y
_atom_site_fract_z
Pu1 0.333 0.667 0.250
Pu2 0.667 0.333 0.750
Np1 0.333 0.667 0.750
Np2 0.667 0.333 0.250
Pd1 0.000 0.000 0.000
Pd2 0.000 0.000 0.500
O1 0.011 0.361 0.636
O2 0.011 0.650 0.864
O3 0.350 0.361 0.864
O4 0.350 0.989 0.636
O5 0.361 0.011 0.136
O6 0.361 0.350 0.364
O7 0.639 0.650 0.636
O8 0.639 0.989 0.864
O9 0.650 0.011 0.364
O10 0.650 0.639 0.136
O11 0.989 0.350 0.136
O12 0.989 0.639 0.364

(5)
# Be2Se | Alexandria | PBE | relaxed
# formation energy (no corrections) = -124 meV/atom
# energy above the most stable polymorph in this dataset = 0.50 eV/f.u.
# total moment = 0.0 μB per cell
# symmetry = C2/m
data_Be2Se
_chemical_formula_sum 'Be4 Se2'
_cell_length_a 5.170
_cell_length_b 5.170
_cell_length_c 5.913
_cell_angle_alpha 116.96
_cell_angle_beta 116.96
_cell_angle_gamma 40.52
_space_group_name_H-M_alt 'P 1'
_space_group_IT_number 1
loop_
_space_group_symop_operation_xyz
'x,y,z'
loop_
_atom_site_label
_atom_site_fract_x
_atom_site_fract_y
_atom_site_fract_z
Be1 0.181 0.181 0.494
Be2 0.284 0.284 0.235
Be3 0.716 0.716 0.765
Be4 0.819 0.819 0.506
Se1 0.087 0.087 0.806
Se2 0.913 0.913 0.194

(6)
# TbSmTm3 | Alexandria | PBE | relaxed
# energy of formation = 0.0 eV per formula unit
# energy above the most stable polymorph in this dataset = 0.00 eV/f.u.
# total moment = 0.0 μB per cell
# symmetry = P-1
data_TbSmTm3
_chemical_formula_sum 'Tb2 Sm2 Tm6'
_cell_length_a 6.233
_cell_length_b 6.668
_cell_length_c 9.136
_cell_angle_alpha 72.29
_cell_angle_beta 89.98
_cell_angle_gamma 62.13
_space_group_name_H-M_alt 'P 1'
_space_group_IT_number 1
loop_
_space_group_symop_operation_xyz
'x,y,z'
loop_
_atom_site_label
_atom_site_fract_x
_atom_site_fract_y
_atom_site_fract_z
Tb1 0.135 0.397 0.350
Tb2 0.865 0.603 0.650
Sm1 0.330 0.999 0.750
Sm2 0.670 0.001 0.250
Tm1 0.065 0.201 0.049
Tm2 0.267 0.797 0.450
Tm3 0.467 0.399 0.851
Tm4 0.533 0.601 0.149
Tm5 0.733 0.203 0.550
Tm6 0.935 0.799 0.951

(7)
# Nd2SnI | Alexandria | PBE | relaxed
# formation energy (no corrections) = -847 meV/atom
# energy above the most stable polymorph in this dataset = 0.12 eV/f.u.
# total moment = 0.0 μB per cell
# symmetry = R3m
data_Nd2SnI
_chemical_formula_sum 'Nd2 Sn1 I1'
_cell_length_a 8.361
_cell_length_b 8.361
_cell_length_c 8.361
_cell_angle_alpha 31.12
_cell_angle_beta 31.12
_cell_angle_gamma 31.12
_space_group_name_H-M_alt 'P 1'
_space_group_IT_number 1
loop_
_space_group_symop_operation_xyz
'x,y,z'
loop_
_atom_site_label
_atom_site_fract_x
_atom_site_fract_y
_atom_site_fract_z
Nd1 0.000 0.000 0.000
Nd2 0.191 0.191 0.191
Sn1 0.597 0.597 0.597
I1 0.427 0.427 0.427

(8)
# TeAsPtN2 | Alexandria | PBE | relaxed
# formation energy (no corrections) = 1192 meV/atom
# energy above the most stable polymorph in this dataset = 0.00 eV/f.u.
# total moment = 0.3 μB per cell
# symmetry = P4/mmm
data_TeAsPtN2
_chemical_formula_sum 'Te1 As1 Pt1 N2'
_cell_length_a 3.817
_cell_length_b 3.817
_cell_length_c 8.630
_cell_angle_alpha 90.00
_cell_angle_beta 90.00
_cell_angle_gamma 90.00
_space_group_name_H-M_alt 'P 1'
_space_group_IT_number 1
loop_
_space_group_symop_operation_xyz
'x,y,z'
loop_
_atom_site_label
_atom_site_fract_x
_atom_site_fract_y
_atom_site_fract_z
Te1 0.000 0.000 0.000
As1 0.500 0.500 0.000
Pt1 0.000 0.000 0.500
N1 0.000 0.500 0.500
N2 0.500 0.000 0.500

(9)
# Na2Sr6LiPt | Alexandria | PBE | relaxed
# energy of formation = -1.7 eV per formula unit
# total moment = 0.0 μB per cell
# symmetry = P2_1/c
data_Na2Sr6LiPt
_chemical_formula_sum 'Na4 Sr12 Li2 Pt2'
_cell_length_a 7.653
_cell_length_b 9.521
_cell_length_c 13.741
_cell_angle_alpha 90.00
_cell_angle_beta 118.64
_cell_angle_gamma 90.00
_space_group_name_H-M_alt 'P 1'
_space_group_IT_number 1
loop_
_space_group_symop_operation_xyz
'x,y,z'
loop_
_atom_site_label
_atom_site_fract_x
_atom_site_fract_y
_atom_site_fract_z
Na1 0.140 0.105 0.261
Na2 0.140 0.395 0.761
Na3 0.860 0.605 0.239
Na4 0.860 0.895 0.739
Sr1 0.126 0.156 0.961
Sr2 0.126 0.344 0.461
Sr3 0.325 0.709 0.952
Sr4 0.325 0.791 0.452
Sr5 0.404 0.039 0.762
Sr6 0.404 0.461 0.262
Sr7 0.596 0.539 0.738
Sr8 0.596 0.961 0.238
Sr9 0.675 0.209 0.548
Sr10 0.675 0.291 0.048
Sr11 0.874 0.656 0.539
Sr12 0.874 0.844 0.039
Li1 0.000 0.000 0.500
Li2 0.000 0.500 0.000
Pt1 0.500 0.000 0.000
Pt2 0.500 0.500 0.500

(10)
# Cs2GaAs2 | Alexandria | PBE | relaxed
# energy of formation = -2.0 eV per formula unit
# energy above the most stable polymorph in this dataset = 0.00 eV/f.u.
# total moment = 2.0 μB per cell
# symmetry = Ibam
data_Cs2GaAs2
_chemical_formula_sum 'Cs4 Ga2 As4'
_cell_length_a 9.017
_cell_length_b 9.017
_cell_length_c 9.017
_cell_angle_alpha 128.92
_cell_angle_beta 69.57
_cell_angle_gamma 136.12
_space_group_name_H-M_alt 'P 1'
_space_group_IT_number 1
loop_
_space_group_symop_operation_xyz
'x,y,z'
loop_
_atom_site_label
_atom_site_fract_x
_atom_site_fract_y
_atom_site_fract_z
Cs1 0.146 0.173 0.319
Cs2 0.354 0.673 0.027
Cs3 0.646 0.327 0.973
Cs4 0.854 0.827 0.681
Ga1 0.250 0.750 0.500
Ga2 0.750 0.250 0.500
As1 0.093 0.668 0.760
As2 0.407 0.168 0.575
As3 0.593 0.832 0.425
As4 0.907 0.332 0.240

(11)
# ScCdTeO5 | Alexandria | PBE | relaxed
# formation energy (no corrections) = -1667 meV/atom
# total moment = 0.0 μB per cell
# symmetry = C2/c
data_ScCdTeO5
_chemical_formula_sum 'Sc2 Cd2 Te2 O10'
_cell_length_a 5.759
_cell_length_b 5.759
_cell_length_c 8.259
_cell_angle_alpha 109.55
_cell_angle_beta 109.55
_cell_angle_gamma 91.31
_space_group_name_H-M_alt 'P 1'
_space_group_IT_number 1
loop_
_space_group_symop_operation_xyz
'x,y,z'
loop_
_atom_site_label
_atom_site_fract_x
_atom_site_fract_y
_atom_site_fract_z
Sc1 0.000 0.500 0.000
Sc2 0.500 0.000 0.500
Cd1 0.048 0.952 0.750
Cd2 0.952 0.048 0.250
Te1 0.443 0.557 0.750
Te2 0.557 0.443 0.250
O1 0.196 0.633 0.856
O2 0.241 0.759 0.250
O3 0.245 0.252 0.532
O4 0.252 0.245 0.032
O5 0.367 0.804 0.644
O6 0.633 0.196 0.356
O7 0.748 0.755 0.968
O8 0.755 0.748 0.468
O9 0.759 0.241 0.750
O10 0.804 0.367 0.144

The highest total moment belongs to which entry?
PuNpPdO6